[1]
First-principles (PBE-GGA) data for a relaxed Sm2HoSb crystal, as listed in Alexandria.

Calculated values
E above lowest polymorph	0.000	eV per atom
symmetry	Cmcm (63)
E_form (uncorrected)	-51.1	kJ per mole of atoms
V	240	Å³ per cell

Cell: 4.5897 4.5708 11.6780 Å, 90.00 101.32 90.00°
Fractional coordinates of all 8 atoms:
Sm 0.5673 0.2500 0.1342
Sm 0.4327 0.7500 0.8658
Sm 0.0627 0.7500 0.1252
Sm 0.9373 0.2500 0.8748
Ho 0.6939 0.7500 0.3877
Ho 0.3061 0.2500 0.6123
Sb 0.1719 0.2500 0.3437
Sb 0.8281 0.7500 0.6563



[2]
First-principles (PBE-GGA) data for a relaxed CeErNi10 crystal, as listed in Alexandria.

Calculated values
energy	-72.4	eV per formula unit
symmetry	Pmmm (47)
V	163	Å³ per cell

Cell: 3.9775 4.8732 8.4207 Å, 90.00 90.00 90.00°
Fractional coordinates of all 12 atoms:
Ce 0.0000 0.0000 0.0000
Er 0.0000 0.5000 0.5000
Ni 0.0000 0.0000 0.3314
Ni 0.0000 0.5000 0.8345
Ni 0.0000 0.5000 0.1655
Ni 0.0000 0.0000 0.6686
Ni 0.5000 0.0000 0.5000
Ni 0.5000 0.5000 0.0000
Ni 0.5000 0.2518 0.2525
Ni 0.5000 0.7482 0.7475
Ni 0.5000 0.7482 0.2525
Ni 0.5000 0.2518 0.7475



[3]
First-principles (PBE-GGA) data for a relaxed YMg3Br crystal, as listed in Alexandria.

Calculated values
E above lowest polymorph	0.476	eV per atom
symmetry	Pm-3m (221)
E_form (uncorrected)	68.7	kJ per mole of atoms
V	250	Å³ per cell

Cell: 6.3017 6.3017 6.3017 Å, 90.00 90.00 90.00°
Fractional coordinates of all 5 atoms:
Y 0.0000 0.0000 0.0000
Mg 0.0000 0.5000 0.0000
Mg 0.0000 0.0000 0.5000
Mg 0.5000 0.0000 0.0000
Br 0.5000 0.5000 0.5000



[4]
First-principles (PBE-GGA) data for a relaxed LaMnRh4 crystal, as listed in Alexandria.

Calculated values
energy	-45.0	eV per formula unit
symmetry	F-43m (216)
V	106	Å³ per cell

Cell: 5.3157 5.3157 5.3157 Å, 60.00 60.00 60.00°
Fractional coordinates of all 6 atoms:
La 0.7500 0.7500 0.7500
Mn 0.0000 0.0000 0.0000
Rh 0.8770 0.3743 0.3743
Rh 0.3743 0.3743 0.8770
Rh 0.3743 0.8770 0.3743
Rh 0.3743 0.3743 0.3743